Density functional theory data (PBE) for crystalline YNbN2O at its relaxed geometry.

a b c (Å): 4.101 4.101 3.953
angles (deg): 90.00 90.00 90.00
Space group P4/mmm (No. 123)
Inequivalent atoms, fractional coordinates:
Y1 0.000 0.000 0.000
Nb1 0.500 0.500 0.500
N1 0.000 0.500 0.500
O1 0.500 0.500 0.000

Its uncorrected formation energy is -1436 meV per atom.

Density functional theory data (PBE) for crystalline YNbNO2 at its relaxed geometry.

a b c (Å): 4.233 4.233 4.396
angles (deg): 90.00 90.00 90.00
Space group P4/mmm (No. 123)
Inequivalent atoms, fractional coordinates:
Y1 0.000 0.000 0.000
Nb1 0.500 0.500 0.500
N1 0.000 0.000 0.500
O1 0.000 0.500 0.000

Its uncorrected formation energy is -411 meV per atom.

Density functional theory data (PBE) for crystalline NbZnNO2 at its relaxed geometry.

a b c (Å): 3.732 3.732 3.853
angles (deg): 90.00 90.00 90.00
Space group P4/mmm (No. 123)
Inequivalent atoms, fractional coordinates:
Nb1 0.000 0.000 0.000
Zn1 0.500 0.500 0.500
N1 0.500 0.500 0.000
O1 0.000 0.500 0.500

Its uncorrected formation energy is 39 meV per atom.

Density functional theory data (PBE) for crystalline NbZnNO2 at its relaxed geometry.

a b c (Å): 3.927 3.927 4.245
angles (deg): 90.00 90.00 90.00
Space group P4/mmm (No. 123)
Inequivalent atoms, fractional coordinates:
Nb1 0.000 0.000 0.000
Zn1 0.500 0.500 0.500
N1 0.000 0.000 0.500
O1 0.000 0.500 0.000

Its uncorrected formation energy is -953 meV per atom.

Density functional theory data (PBE) for crystalline ZrNbN2O at its relaxed geometry.

a b c (Å): 4.201 4.201 3.994
angles (deg): 90.00 90.00 90.00
Space group P4/mmm (No. 123)
Inequivalent atoms, fractional coordinates:
Zr1 0.000 0.000 0.000
Nb1 0.500 0.500 0.500
N1 0.000 0.500 0.000
O1 0.000 0.000 0.500

Its uncorrected formation energy is -182 meV per atom.

Density functional theory data (PBE) for crystalline ZrNbN2O at its relaxed geometry.

a b c (Å): 4.083 4.083 3.870
angles (deg): 90.00 90.00 90.00
Space group P4/mmm (No. 123)
Inequivalent atoms, fractional coordinates:
Zr1 0.000 0.000 0.000
Nb1 0.500 0.500 0.500
N1 0.000 0.500 0.500
O1 0.500 0.500 0.000

Its uncorrected formation energy is -855 meV per atom.

Density functional theory data (PBE) for crystalline NbOs2N at its relaxed geometry.

a b c (Å): 6.101 6.101 6.101
angles (deg): 90.00 90.00 90.00
Space group Fm-3m (No. 225)
Inequivalent atoms, fractional coordinates:
Nb1 0.000 0.000 0.000
Os1 0.250 0.250 0.250
N1 0.000 0.000 0.500

Its uncorrected formation energy is 1306 meV per atom. As for the energy above the most stable polymorph in this dataset: 741 meV/atom.

Density functional theory data (PBE) for crystalline Nb2OsN at its relaxed geometry.

a b c (Å): 6.123 6.123 6.666
angles (deg): 90.00 90.00 90.00
Space group I-42d (No. 122)
Inequivalent atoms, fractional coordinates:
Nb1 0.179 0.750 0.125
Os1 0.000 0.000 0.500
N1 0.000 0.000 0.000

Its uncorrected formation energy is -40 meV per atom. As for the energy above the most stable polymorph in this dataset: 427 meV/atom.

Density functional theory data (PBE) for crystalline NbOs3N at its relaxed geometry.

a b c (Å): 4.774 4.774 4.774
angles (deg): 90.00 90.00 90.00
Space group Pm-3m (No. 221)
Inequivalent atoms, fractional coordinates:
Nb1 0.000 0.000 0.000
Os1 0.000 0.000 0.500
N1 0.500 0.500 0.500

Its uncorrected formation energy is 3623 meV per atom. As for the energy above the most stable polymorph in this dataset: 3292 meV/atom.

Density functional theory data (PBE) for crystalline Nb2OsN at its relaxed geometry.

a b c (Å): 3.0697 3.0697 20.6224
angles (deg): 90.00 90.00 120.00
Space group R-3m (No. 166, hexagonal axes)
Inequivalent atoms, fractional coordinates:
Nb1 0.0000 0.0000 0.2274
Os1 0.0000 0.0000 0.0000
N1 0.0000 0.0000 0.5000

Its uncorrected formation energy is -467 meV per atom. As for the energy above the most stable polymorph in this dataset: 0 meV/atom.

Density functional theory data (PBE) for crystalline Nb6Os2N at its relaxed geometry.

a b c (Å): 12.484 6.183 4.445
angles (deg): 90.00 110.78 90.00
Space group C2/m (No. 12)
Inequivalent atoms, fractional coordinates:
Nb1 0.000 0.219 0.000
Nb2 0.147 0.245 0.647
Os1 0.170 0.500 0.171
N1 0.000 0.000 0.500

Its uncorrected formation energy is 230 meV per atom.

Density functional theory data (PBE) for crystalline Nb3OsN at its relaxed geometry.

a b c (Å): 4.831 4.831 4.831
angles (deg): 90.00 90.00 90.00
Space group Pm-3m (No. 221)
Inequivalent atoms, fractional coordinates:
Nb1 0.000 0.000 0.500
Os1 0.000 0.000 0.000
N1 0.500 0.500 0.500

Its uncorrected formation energy is 2071 meV per atom. As for the energy above the most stable polymorph in this dataset: 2485 meV/atom.

Density functional theory data (PBE) for crystalline NbOs2N at its relaxed geometry.

a b c (Å): 5.475 5.475 8.721
angles (deg): 90.00 90.00 90.00
Space group I-42d (No. 122)
Inequivalent atoms, fractional coordinates:
Nb1 0.000 0.000 0.000
Os1 0.151 0.250 0.625
N1 0.000 0.000 0.500

Its uncorrected formation energy is 565 meV per atom. As for the energy above the most stable polymorph in this dataset: 0 meV/atom.

Density functional theory data (PBE) for crystalline Nb2OsN at its relaxed geometry.

a b c (Å): 6.162 6.162 6.162
angles (deg): 90.00 90.00 90.00
Space group Fm-3m (No. 225)
Inequivalent atoms, fractional coordinates:
Nb1 0.250 0.250 0.250
Os1 0.000 0.000 0.000
N1 0.000 0.000 0.500

Its uncorrected formation energy is 652 meV per atom. As for the energy above the most stable polymorph in this dataset: 1119 meV/atom.

Density functional theory data (PBE) for crystalline Nb6Os3N at its relaxed geometry.

a b c (Å): 9.498 7.244 5.096
angles (deg): 90.00 106.28 90.00
Space group C2/m (No. 12)
Inequivalent atoms, fractional coordinates:
Nb1 0.096 0.207 0.304
Nb2 0.201 0.000 0.848
Os1 0.000 0.500 0.000
Os2 0.149 0.500 0.628
N1 0.000 0.000 0.500

Its uncorrected formation energy is -143 meV per atom.

Density functional theory data (PBE) for crystalline Nb8Os2N at its relaxed geometry.

a b c (Å): 15.091 4.544 5.617
angles (deg): 90.00 106.89 90.00
Space group C2/m (No. 12)
Inequivalent atoms, fractional coordinates:
Nb1 0.008 0.000 0.258
Nb2 0.092 0.500 0.936
Nb3 0.126 0.500 0.459
Nb4 0.211 0.000 0.749
Os1 0.180 0.000 0.177
N1 0.000 0.500 0.500

Its uncorrected formation energy is -88 meV per atom.

Density functional theory data (PBE) for crystalline NbOsN at its relaxed geometry.

a b c (Å): 8.393 3.804 6.642
angles (deg): 90.00 121.19 90.00
Space group C2/m (No. 12)
Inequivalent atoms, fractional coordinates:
Nb1 0.174 0.000 0.293
Os1 0.140 0.500 0.929
N1 0.101 0.500 0.373

Its uncorrected formation energy is -168 meV per atom.

Density functional theory data (PBE) for crystalline Nb3OsN at its relaxed geometry.

a b c (Å): 4.231 4.231 4.231
angles (deg): 90.00 90.00 90.00
Space group Pm-3m (No. 221)
Inequivalent atoms, fractional coordinates:
Nb1 0.000 0.000 0.500
Os1 0.500 0.500 0.500
N1 0.000 0.000 0.000

Its uncorrected formation energy is -414 meV per atom. As for the energy above the most stable polymorph in this dataset: 0 meV/atom.

Density functional theory data (PBE) for crystalline NbOs3N at its relaxed geometry.

a b c (Å): 4.083 4.083 4.083
angles (deg): 90.00 90.00 90.00
Space group Pm-3m (No. 221)
Inequivalent atoms, fractional coordinates:
Nb1 0.000 0.000 0.000
Os1 0.000 0.500 0.500
N1 0.500 0.500 0.500

Its uncorrected formation energy is 332 meV per atom. As for the energy above the most stable polymorph in this dataset: 0 meV/atom.

Density functional theory data (PBE) for crystalline NbRe2OsN at its relaxed geometry.

a b c (Å): 4.858 4.858 3.777
angles (deg): 90.00 90.00 90.00
Space group P4/mmm (No. 123)
Inequivalent atoms, fractional coordinates:
Nb1 0.000 0.000 0.000
Re1 0.000 0.500 0.000
Os1 0.500 0.500 0.500
N1 0.000 0.000 0.500

Its uncorrected formation energy is 2367 meV per atom.

Density functional theory data (PBE) for crystalline NbOs2RhN at its relaxed geometry.

a b c (Å): 4.050 4.050 4.178
angles (deg): 90.00 90.00 90.00
Space group P4/mmm (No. 123)
Inequivalent atoms, fractional coordinates:
Nb1 0.000 0.000 0.000
Os1 0.000 0.500 0.500
Rh1 0.500 0.500 0.000
N1 0.500 0.500 0.500

Its uncorrected formation energy is 275 meV per atom.

Density functional theory data (PBE) for crystalline NbOsSN2 at its relaxed geometry.

a b c (Å): 3.936 3.936 5.195
angles (deg): 90.00 90.00 90.00
Space group P4/mmm (No. 123)
Inequivalent atoms, fractional coordinates:
Nb1 0.000 0.000 0.000
Os1 0.500 0.500 0.500
S1 0.000 0.000 0.500
N1 0.000 0.500 0.000

Its uncorrected formation energy is 1194 meV per atom. As for the energy above the most stable polymorph in this dataset: 457 meV/atom.

Density functional theory data (PBE) for crystalline NbOsSN2 at its relaxed geometry.

a b c (Å): 3.803 3.803 5.004
angles (deg): 90.00 90.00 90.00
Space group P4/mmm (No. 123)
Inequivalent atoms, fractional coordinates:
Nb1 0.000 0.000 0.000
Os1 0.500 0.500 0.500
S1 0.500 0.500 0.000
N1 0.000 0.500 0.500

Its uncorrected formation energy is 737 meV per atom. As for the energy above the most stable polymorph in this dataset: 0 meV/atom.

Density functional theory data (PBE) for crystalline NbOsSe2N at its relaxed geometry.

a b c (Å): 5.071 5.071 3.656
angles (deg): 90.00 90.00 90.00
Space group P4/mmm (No. 123)
Inequivalent atoms, fractional coordinates:
Nb1 0.000 0.000 0.000
Os1 0.500 0.500 0.500
Se1 0.000 0.500 0.500
N1 0.500 0.500 0.000

Its uncorrected formation energy is 568 meV per atom. As for the energy above the most stable polymorph in this dataset: 0 meV/atom.

Density functional theory data (PBE) for crystalline NbOsSe2N at its relaxed geometry.

a b c (Å): 5.138 5.138 3.822
angles (deg): 90.00 90.00 90.00
Space group P4/mmm (No. 123)
Inequivalent atoms, fractional coordinates:
Nb1 0.000 0.000 0.000
Os1 0.500 0.500 0.500
Se1 0.000 0.500 0.000
N1 0.000 0.000 0.500

Its uncorrected formation energy is 1028 meV per atom. As for the energy above the most stable polymorph in this dataset: 461 meV/atom.

Density functional theory data (PBE) for crystalline Ta2NbOsN at its relaxed geometry.

a b c (Å): 4.212 4.212 4.239
angles (deg): 90.00 90.00 90.00
Space group P4/mmm (No. 123)
Inequivalent atoms, fractional coordinates:
Ta1 0.000 0.500 0.000
Nb1 0.000 0.000 0.500
Os1 0.500 0.500 0.500
N1 0.000 0.000 0.000

Its uncorrected formation energy is -439 meV per atom.

Density functional theory data (PBE) for crystalline NbTeOsN2 at its relaxed geometry.

a b c (Å): 3.884 3.884 5.773
angles (deg): 90.00 90.00 90.00
Space group P4/mmm (No. 123)
Inequivalent atoms, fractional coordinates:
Nb1 0.000 0.000 0.000
Te1 0.500 0.500 0.000
Os1 0.500 0.500 0.500
N1 0.000 0.500 0.500

Its uncorrected formation energy is 982 meV per atom. As for the energy above the most stable polymorph in this dataset: 0 meV/atom.

Density functional theory data (PBE) for crystalline NbTe2OsN at its relaxed geometry.

a b c (Å): 5.458 5.458 3.816
angles (deg): 90.00 90.00 90.00
Space group P4/mmm (No. 123)
Inequivalent atoms, fractional coordinates:
Nb1 0.000 0.000 0.000
Te1 0.000 0.500 0.000
Os1 0.500 0.500 0.500
N1 0.000 0.000 0.500

Its uncorrected formation energy is 1088 meV per atom. As for the energy above the most stable polymorph in this dataset: 502 meV/atom.